i | The following is a DFT calculation (PBE) of a relaxed BiPtBr2 crystal.

**Crystal system**: trigonal

a b c (Å): 3.5599 3.5599 28.9218
angles (deg): 90.00 90.00 120.00
Space group R-3m (No. 166, hexagonal axes)
Symmetry-distinct sites (fractional):
Bi (0.0000, 0.0000, 0.0000)
Pt (0.0000, 0.0000, 0.5000)
Br (0.0000, 0.0000, 0.4166)


ii | The following is a DFT calculation (PBE) of a relaxed BiPtBr2 crystal.

**Crystal system**: cubic

a b c (Å): 7.227 7.227 7.227
angles (deg): 90.00 90.00 90.00
Space group Fm-3m (No. 225)
Symmetry-distinct sites (fractional):
Bi (0.000, 0.000, 0.000)
Pt (0.000, 0.000, 0.500)
Br (0.250, 0.250, 0.250)


iii | The following is a DFT calculation (PBE) of a relaxed BiPtBr2 crystal.

**Crystal system**: tetragonal

a b c (Å): 10.593 10.593 5.267
angles (deg): 90.00 90.00 90.00
Space group I4_1/amd (No. 141, origin choice 2)
Symmetry-distinct sites (fractional):
Bi (0.000, 0.250, 0.375)
Pt (0.000, 0.250, 0.875)
Br (0.000, 0.000, 0.000)


Quick one: most stable of them? iii


i | The following is a DFT calculation (PBE) of a relaxed BiPt2Br crystal.

**Crystal system**: cubic

a b c (Å): 6.899 6.899 6.899
angles (deg): 90.00 90.00 90.00
Space group Fm-3m (No. 225)
Symmetry-distinct sites (fractional):
Bi (0.000, 0.000, 0.000)
Pt (0.250, 0.250, 0.250)
Br (0.000, 0.000, 0.500)


ii | The following is a DFT calculation (PBE) of a relaxed BiPt2Br crystal.

**Crystal system**: tetragonal

a b c (Å): 6.839 6.839 8.751
angles (deg): 90.00 90.00 90.00
Space group I-42d (No. 122)
Symmetry-distinct sites (fractional):
Bi (0.000, 0.000, 0.000)
Pt (0.247, 0.250, 0.625)
Br (0.000, 0.000, 0.500)


Quick one: most stable of them? ii


i | The following is a DFT calculation (PBE) of a relaxed Bi2PtBr crystal.

**Crystal system**: tetragonal

a b c (Å): 7.102 7.102 11.549
angles (deg): 90.00 90.00 90.00
Space group I-42d (No. 122)
Symmetry-distinct sites (fractional):
Bi (0.188, 0.250, 0.125)
Pt (0.000, 0.000, 0.000)
Br (0.000, 0.000, 0.500)


ii | The following is a DFT calculation (PBE) of a relaxed Bi2PtBr crystal.

**Crystal system**: trigonal

a b c (Å): 4.2810 4.2810 22.4758
angles (deg): 90.00 90.00 120.00
Space group R3m (No. 160, hexagonal axes)
Symmetry-distinct sites (fractional):
Bi (0.0000, 0.0000, 0.0000)
Bi (0.0000, 0.0000, 0.2159)
Pt (0.0000, 0.0000, 0.6078)
Br (0.0000, 0.0000, 0.4384)


Quick one: most stable of them? ii


i | The following is a DFT calculation (PBE) of a relaxed Bi2PtBr crystal.

**Crystal system**: cubic

a b c (Å): 7.277 7.277 7.277
angles (deg): 90.00 90.00 90.00
Space group Fm-3m (No. 225)
Symmetry-distinct sites (fractional):
Bi (0.250, 0.250, 0.250)
Pt (0.000, 0.000, 0.000)
Br (0.000, 0.000, 0.500)


ii | The following is a DFT calculation (PBE) of a relaxed Bi2PtBr crystal.

**Crystal system**: triclinic

a b c (Å): 4.361 7.575 8.645
angles (deg): 97.54 104.38 90.01
Space group P1 (No. 1)
Symmetry-distinct sites (fractional):
Bi (0.000, 0.000, 0.000)
Bi (0.149, 0.380, 0.300)
Bi (0.500, 0.500, 0.000)
Bi (0.649, 0.880, 0.301)
Pt (0.075, 0.690, 0.150)
Pt (0.575, 0.190, 0.150)
Br (0.328, 0.439, 0.650)
Br (0.821, 0.939, 0.650)


Quick one: most stable of them? ii


i | The following is a DFT calculation (PBE) of a relaxed Pu2BiBr crystal.

**Crystal system**: tetragonal

a b c (Å): 5.642 5.642 3.494
angles (deg): 90.00 90.00 90.00
Space group P4/mmm (No. 123)
Symmetry-distinct sites (fractional):
Pu (0.000, 0.500, 0.000)
Bi (0.000, 0.000, 0.500)
Br (0.500, 0.500, 0.500)


ii | The following is a DFT calculation (PBE) of a relaxed Pu2BiBr crystal.

**Crystal system**: cubic

a b c (Å): 7.629 7.629 7.629
angles (deg): 90.00 90.00 90.00
Space group Fm-3m (No. 225)
Symmetry-distinct sites (fractional):
Pu (0.250, 0.250, 0.250)
Bi (0.000, 0.000, 0.000)
Br (0.000, 0.000, 0.500)


iii | The following is a DFT calculation (PBE) of a relaxed Pu2BiBr crystal.

**Crystal system**: trigonal

a b c (Å): 4.5798 4.5798 19.8245
angles (deg): 90.00 90.00 120.00
Space group R-3m (No. 166, hexagonal axes)
Symmetry-distinct sites (fractional):
Pu (0.0000, 0.0000, 0.2425)
Bi (0.0000, 0.0000, 0.0000)
Br (0.0000, 0.0000, 0.5000)


Quick one: most stable of them? iii


i | The following is a DFT calculation (PBE) of a relaxed Rb2BiBr crystal.

**Crystal system**: cubic

a b c (Å): 8.929 8.929 8.929
angles (deg): 90.00 90.00 90.00
Space group Fm-3m (No. 225)
Symmetry-distinct sites (fractional):
Rb (0.250, 0.250, 0.250)
Bi (0.000, 0.000, 0.000)
Br (0.000, 0.000, 0.500)


ii | The following is a DFT calculation (PBE) of a relaxed Rb2BiBr crystal.

**Crystal system**: tetragonal

a b c (Å): 3.902 3.902 10.055
angles (deg): 90.00 90.00 90.00
Space group P4/mmm (No. 123)
Symmetry-distinct sites (fractional):
Rb (0.000, 0.000, 0.213)
Bi (0.500, 0.500, 0.500)
Br (0.500, 0.500, 0.000)


iii | The following is a DFT calculation (PBE) of a relaxed Rb2BiBr crystal.

**Crystal system**: tetragonal

a b c (Å): 9.540 9.540 9.454
angles (deg): 90.00 90.00 90.00
Space group I-42d (No. 122)
Symmetry-distinct sites (fractional):
Rb (0.209, 0.250, 0.125)
Bi (0.000, 0.000, 0.500)
Br (0.000, 0.000, 0.000)


Quick one: most stable of them? ii